{"formula": "GdTlPO", "functional": "PBE-GGA", "state": "relaxed", "de_polymorph_mev_per_atom": 0, "crystal_system": "tetragonal", "magmom_total_mub_per_fu": 0.3, "sg": "P4/nmm", "lattice_angstrom": [[4.1838, 0.0000, 0.0000], [0.0000, 4.1838, 0.0000], [0.0000, 0.0000, 9.4340]], "species": ["Gd", "Gd", "O", "O", "P", "P", "Tl", "Tl"], "fractional_positions": [[0.0000, 0.5000, 0.1071], [0.5000, 0.0000, 0.8929], [0.0000, 0.0000, 0.0000], [0.5000, 0.5000, 0.0000], [0.5000, 0.0000, 0.2784], [0.0000, 0.5000, 0.7216], [0.0000, 0.0000, 0.5000], [0.5000, 0.5000, 0.5000]]}

{"formula": "Zr4SiSbN2", "functional": "PBE-GGA", "state": "relaxed", "crystal_system": "hexagonal", "magmom_total_mub_per_fu": 0.0, "e_tot_ha_per_atom": -0.318, "sg": "P-6m2", "lattice_angstrom": [[-0.9233, -1.9837, 2.5431], [2.8938, -0.5629, -1.6013], [6.4022, 8.1706, 8.6976]], "species": ["N", "N", "Sb", "Si", "Zr", "Zr", "Zr", "Zr"], "fractional_positions": [[0.3333, 0.6667, 0.2590], [0.3333, 0.6667, 0.7410], [0.0000, 0.0000, 0.0000], [0.6667, 0.3333, 0.5000], [0.6667, 0.3333, 0.1678], [0.0000, 0.0000, 0.3505], [0.0000, 0.0000, 0.6495], [0.6667, 0.3333, 0.8322]]}